Computed, not measured: LaMnPb after structural relaxation at the GGA-PBE level of DFT.

Computed properties:
crystal system	monoclinic
total moment	0.0	μB per cell
energy	-5.648	eV per atom
ΔE_f	287	meV per atom

Unit cell a=4.6563 b=5.0725 c=6.0729 alpha=90.00 beta=102.32 gamma=90.00
Space group Cm (No. 8)
Inequivalent atoms, fractional coordinates:
La  0.0000  0.0000  0.0000 x2
Mn  0.2924  0.5000  0.3040 x2
Pb  0.3646  0.0000  0.5524 x2